## KCd2SnHg4 (PBE-GGA)

Data for an optimized crystal structure of KCd2SnHg4.

Results
ΔH_f (0 K) ... -0.08 eV per atom
D(E_F) ... 1.87 states/eV per cell
Total magnetization ... 0.00 μB per formula unit

Cell lengths 4.885, 4.885, 11.515 Å; angles 77.75, 77.75, 60.00 degrees
Atoms (fractional coordinates):
Hg (0.395, 0.395, 0.815)
Hg (0.605, 0.605, 0.185)
Hg (0.875, 0.875, 0.376)
Hg (0.125, 0.125, 0.624)
Cd (0.756, 0.756, 0.731)
Cd (0.244, 0.244, 0.269)
Sn (0.500, 0.500, 0.500)
K (0.000, 0.000, 0.000)